No. 1
# MoCl6 | Alexandria | meta-GGA SCAN | single point on PBEsol structure
# Crystal system: trigonal
# Formation energy without anion corrections (meV per atom): -827
# Uncorrected energy (eV per atom): -12.6488
data_MoCl6
_symmetry_space_group_name_H-M 'P -3 m 1'
_symmetry_Int_Tables_number 164
_symmetry_space_group_name_Hall '-P 3 2"'
_cell_length_a 10.5348
_cell_length_b 10.5348
_cell_length_c 5.4445
_cell_angle_alpha 90.00
_cell_angle_beta 90.00
_cell_angle_gamma 120.00
loop_
_atom_site_label
_atom_site_type_symbol
_atom_site_fract_x
_atom_site_fract_y
_atom_site_fract_z
_atom_site_occupancy
Mo1 Mo 0.0000 0.0000 0.0000 1
Mo2 Mo 0.3333 0.6667 0.4962 1
Cl1 Cl 0.1021 0.2041 0.7568 1
Cl2 Cl 0.1291 0.5645 0.7392 1
Cl3 Cl 0.2313 0.4625 0.2533 1

No. 2
# MoCl5 | Alexandria | meta-GGA SCAN | single point on PBEsol structure
# Crystal system: triclinic
# Formation energy without anion corrections (meV per atom): -917
# Uncorrected energy (eV per atom): -13.3795
data_MoCl5
_symmetry_space_group_name_H-M 'P -1'
_symmetry_Int_Tables_number 2
_symmetry_space_group_name_Hall '-P 1'
_cell_length_a 6.136
_cell_length_b 6.611
_cell_length_c 8.976
_cell_angle_alpha 71.30
_cell_angle_beta 90.00
_cell_angle_gamma 63.51
loop_
_atom_site_label
_atom_site_type_symbol
_atom_site_fract_x
_atom_site_fract_y
_atom_site_fract_z
_atom_site_occupancy
Mo1 Mo 0.103 0.285 0.219 1
Cl1 Cl 0.075 0.680 0.567 1
Cl2 Cl 0.121 0.875 0.851 1
Cl3 Cl 0.238 0.315 0.955 1
Cl4 Cl 0.302 0.495 0.241 1
Cl5 Cl 0.435 0.926 0.338 1

No. 3
# MoCl5 | Alexandria | meta-GGA SCAN | single point on PBEsol structure
# Crystal system: monoclinic
# Formation energy without anion corrections (meV per atom): -915
# Uncorrected energy (eV per atom): -13.3778
data_MoCl5
_symmetry_space_group_name_H-M 'C 1 2/m 1'
_symmetry_Int_Tables_number 12
_symmetry_space_group_name_Hall '-C 2y'
_cell_length_a 17.255
_cell_length_b 17.547
_cell_length_c 6.105
_cell_angle_alpha 90.00
_cell_angle_beta 96.61
_cell_angle_gamma 90.00
loop_
_atom_site_label
_atom_site_type_symbol
_atom_site_fract_x
_atom_site_fract_y
_atom_site_fract_z
_atom_site_occupancy
Mo1 Mo 0.000 0.110 0.000 1
Mo2 Mo 0.166 0.391 0.562 1
Cl1 Cl 0.075 0.097 0.327 1
Cl2 Cl 0.076 0.000 0.876 1
Cl3 Cl 0.082 0.192 0.866 1
Cl4 Cl 0.086 0.308 0.372 1
Cl5 Cl 0.089 0.402 0.837 1
Cl6 Cl 0.091 0.500 0.387 1
Cl7 Cl 0.241 0.500 0.738 1
Cl8 Cl 0.243 0.403 0.287 1
Cl9 Cl 0.247 0.309 0.752 1

No. 4
# MoCl4 | Alexandria | meta-GGA SCAN | single point on PBEsol structure
# Crystal system: trigonal
# Formation energy without anion corrections (meV per atom): -993
# Uncorrected energy (eV per atom): -14.3527
data_MoCl4
_symmetry_space_group_name_H-M 'P -3 1 m'
_symmetry_Int_Tables_number 162
_symmetry_space_group_name_Hall '-P 3 2'
_cell_length_a 12.1126
_cell_length_b 12.1126
_cell_length_c 5.9769
_cell_angle_alpha 90.00
_cell_angle_beta 90.00
_cell_angle_gamma 120.00
loop_
_atom_site_label
_atom_site_type_symbol
_atom_site_fract_x
_atom_site_fract_y
_atom_site_fract_z
_atom_site_occupancy
Mo1 Mo 0.1734 0.3467 0.0000 1
Cl1 Cl 0.0000 0.1708 0.2122 1
Cl2 Cl 0.0000 0.3306 0.7749 1
Cl3 Cl 0.1715 0.4882 0.2401 1

No. 5
# MoCl5 | Alexandria | meta-GGA SCAN | single point on PBEsol structure
# Crystal system: monoclinic
# Formation energy without anion corrections (meV per atom): -915
# Uncorrected energy (eV per atom): -13.3777
data_MoCl5
_symmetry_space_group_name_H-M 'P 1 21/c 1'
_symmetry_Int_Tables_number 14
_symmetry_space_group_name_Hall '-P 2ybc'
_cell_length_a 9.299
_cell_length_b 11.507
_cell_length_c 12.187
_cell_angle_alpha 90.00
_cell_angle_beta 109.49
_cell_angle_gamma 90.00
loop_
_atom_site_label
_atom_site_type_symbol
_atom_site_fract_x
_atom_site_fract_y
_atom_site_fract_z
_atom_site_occupancy
Mo1 Mo 0.125 0.125 0.318 1
Mo2 Mo 0.313 0.623 0.295 1
Cl1 Cl 0.094 0.514 0.160 1
Cl2 Cl 0.094 0.735 0.315 1
Cl3 Cl 0.100 0.009 0.163 1
Cl4 Cl 0.100 0.241 0.461 1
Cl5 Cl 0.283 0.507 0.435 1
Cl6 Cl 0.289 0.741 0.140 1
Cl7 Cl 0.291 0.005 0.443 1
Cl8 Cl 0.291 0.244 0.278 1
Cl9 Cl 0.480 0.504 0.255 1
Cl10 Cl 0.481 0.740 0.421 1

No. 6
# Mo2Cl | Alexandria | meta-GGA SCAN | single point on PBEsol structure
# Crystal system: trigonal
# Formation energy without anion corrections (meV per atom): 413
# Uncorrected energy (eV per atom): -25.5032
data_Mo2Cl
_symmetry_space_group_name_H-M 'P -3 m 1'
_symmetry_Int_Tables_number 164
_symmetry_space_group_name_Hall '-P 3 2"'
_cell_length_a 2.8671
_cell_length_b 2.8671
_cell_length_c 6.3239
_cell_angle_alpha 90.00
_cell_angle_beta 90.00
_cell_angle_gamma 120.00
loop_
_atom_site_label
_atom_site_type_symbol
_atom_site_fract_x
_atom_site_fract_y
_atom_site_fract_z
_atom_site_occupancy
Mo1 Mo 0.3333 0.6667 0.1740 1
Cl1 Cl 0.0000 0.0000 0.5000 1

- What is the formula in the sixth record?
  Mo2Cl

- uncorrected energy of number 6 (Mo2Cl)?
  -25.5032 eV per atom

- Which of these has the highest formation energy without anion corrections?
  Mo2Cl